Entry 1:
# Sb2PbI8, relaxed, DFT PBE-GGA
# ΔE_f (raw) (eV per atom): -0.33
data_Sb2PbI8
_symmetry_space_group_name_H-M 'C 1 2/m 1'
_symmetry_Int_Tables_number 12
_cell_length_a 11.7160
_cell_length_b 13.1294
_cell_length_c 8.2349
_cell_angle_alpha 90.00
_cell_angle_beta 98.55
_cell_angle_gamma 90.00
loop_
_symmetry_equiv_pos_as_xyz
'x,y,z'
'-x,-y,-z'
'-x,y,-z'
'x,-y,z'
'x+1/2,y+1/2,z'
'-x+1/2,-y+1/2,-z'
'-x+1/2,y+1/2,-z'
'x+1/2,-y+1/2,z'
loop_
_atom_site_label
_atom_site_fract_x
_atom_site_fract_y
_atom_site_fract_z
Sb1 0.1752 0.0000 0.0733
Pb1 0.0000 0.0000 0.5000
I1 0.0956 0.1707 0.2616
I2 0.0994 0.5000 0.7784
I3 0.2493 0.5000 0.2696

---

Entry 2:
# Th6GeSe3S2, relaxed, DFT PBE-GGA
# ΔE_f (raw) (eV per atom): -1.54
data_Th6GeSe3S2
_symmetry_space_group_name_H-M 'C 1 2/m 1'
_symmetry_Int_Tables_number 12
_cell_length_a 7.1725
_cell_length_b 12.4578
_cell_length_c 7.3083
_cell_angle_alpha 90.00
_cell_angle_beta 109.20
_cell_angle_gamma 90.00
loop_
_symmetry_equiv_pos_as_xyz
'x,y,z'
'-x,-y,-z'
'-x,y,-z'
'x,-y,z'
'x+1/2,y+1/2,z'
'-x+1/2,-y+1/2,-z'
'-x+1/2,y+1/2,-z'
'x+1/2,-y+1/2,z'
loop_
_atom_site_label
_atom_site_fract_x
_atom_site_fract_y
_atom_site_fract_z
Th1 0.2342 0.0000 0.2309
Th2 0.2501 0.1707 0.7628
Ge1 0.0000 0.5000 0.0000
Se1 0.0000 0.0000 0.5000
Se2 0.0000 0.3404 0.5000
S1 0.0000 0.1685 0.0000

---

Entry 3:
# Ac8Pb4Se3N, relaxed, DFT PBE-GGA
# ΔE_f (raw) (eV per atom): -0.99
data_Ac8Pb4Se3N
_symmetry_space_group_name_H-M 'C 1 2/m 1'
_symmetry_Int_Tables_number 12
_cell_length_a 15.8112
_cell_length_b 9.0997
_cell_length_c 9.3647
_cell_angle_alpha 90.00
_cell_angle_beta 124.30
_cell_angle_gamma 90.00
loop_
_symmetry_equiv_pos_as_xyz
'x,y,z'
'-x,-y,-z'
'-x,y,-z'
'x,-y,z'
'x+1/2,y+1/2,z'
'-x+1/2,-y+1/2,-z'
'-x+1/2,y+1/2,-z'
'x+1/2,-y+1/2,z'
loop_
_atom_site_label
_atom_site_fract_x
_atom_site_fract_y
_atom_site_fract_z
Ac1 0.0045 0.2278 0.2862
Ac2 0.2267 0.0000 0.7168
Ac3 0.2457 0.5000 0.7366
Pb1 0.0000 0.0000 0.0000
Pb2 0.0000 0.5000 0.0000
Pb3 0.2500 0.2500 0.0000
Se1 0.0000 0.5000 0.5000
Se2 0.2500 0.2500 0.5000
N1 0.0000 0.0000 0.5000

---

Entry 4:
# Er2Ga2Ni5Sn, relaxed, DFT PBE-GGA
# Energy of formation from the pure elements (eV/atom): -0.4122
data_Er2Ga2Ni5Sn
_symmetry_space_group_name_H-M 'P 4/m b m'
_symmetry_Int_Tables_number 127
_symmetry_space_group_name_Hall '-P 4 2ab'
_cell_length_a 9.4934
_cell_length_b 9.4934
_cell_length_c 3.5400
_cell_angle_alpha 90.00
_cell_angle_beta 90.00
_cell_angle_gamma 90.00
loop_
_atom_site_label
_atom_site_fract_x
_atom_site_fract_y
_atom_site_fract_z
Er1 0.1802 0.3198 0.0000
Ga1 0.1162 0.6162 0.0000
Ni1 0.0000 0.5000 0.5000
Ni2 0.0586 0.7853 0.5000
Sn1 0.0000 0.0000 0.0000

---

Entry 5:
# Dy3HoEr6Tm2, relaxed, DFT PBE-GGA
# Energy of formation from the pure elements (eV/atom): 0.0218
data_Dy3HoEr6Tm2
_symmetry_space_group_name_H-M 'C 1 2/m 1'
_symmetry_Int_Tables_number 12
_cell_length_a 6.0750
_cell_length_b 10.5084
_cell_length_c 11.6149
_cell_angle_alpha 90.00
_cell_angle_beta 100.00
_cell_angle_gamma 90.00
loop_
_symmetry_equiv_pos_as_xyz
'x,y,z'
'-x,-y,-z'
'-x,y,-z'
'x,-y,z'
'x+1/2,y+1/2,z'
'-x+1/2,-y+1/2,-z'
'-x+1/2,y+1/2,-z'
'x+1/2,-y+1/2,z'
loop_
_atom_site_label
_atom_site_fract_x
_atom_site_fract_y
_atom_site_fract_z
Dy1 0.0000 0.0000 0.0000
Dy2 0.0000 0.3332 0.0000
Ho1 0.0000 0.5000 0.5000
Er1 0.2495 0.0000 0.7489
Er2 0.2503 0.1667 0.2512
Tm1 0.0000 0.1667 0.5000

---

Entry 6:
# Tb2PuNpN4, relaxed, DFT PBE-GGA
# ΔE_f (raw) (eV per atom): -1.42
data_Tb2PuNpN4
_symmetry_space_group_name_H-M 'P 1 2/m 1'
_symmetry_Int_Tables_number 10
_cell_length_a 6.0030
_cell_length_b 3.4802
_cell_length_c 6.0322
_cell_angle_alpha 90.00
_cell_angle_beta 109.48
_cell_angle_gamma 90.00
loop_
_symmetry_equiv_pos_as_xyz
'x,y,z'
'-x,-y,-z'
'-x,y,-z'
'x,-y,z'
loop_
_atom_site_label
_atom_site_fract_x
_atom_site_fract_y
_atom_site_fract_z
Tb1 0.0000 0.0000 0.0000
Tb2 0.0000 0.5000 0.5000
Pu1 0.5000 0.0000 0.5000
Np1 0.5000 0.5000 0.0000
N1 0.2634 0.0000 0.7594
N2 0.2639 0.5000 0.2482

---

Entry 7:
# Hf2Al3Os, relaxed, DFT PBE-GGA
# Energy of formation from the pure elements (eV/atom): -0.5433
data_Hf2Al3Os
_symmetry_space_group_name_H-M 'R -3 m'
_symmetry_Int_Tables_number 166
_symmetry_space_group_name_Hall '-R 3 2"'
_cell_length_a 5.2244
_cell_length_b 5.2244
_cell_length_c 12.8347
_cell_angle_alpha 90.00
_cell_angle_beta 90.00
_cell_angle_gamma 120.00
loop_
_atom_site_label
_atom_site_fract_x
_atom_site_fract_y
_atom_site_fract_z
Hf1 0.0000 0.0000 0.1298
Al1 0.0000 0.5000 0.0000
Os1 0.0000 0.0000 0.5000

---

Entry 8:
# TmCoNi4, relaxed, DFT PBE-GGA
# Energy of formation from the pure elements (eV/atom): -0.1112
data_TmCoNi4
_symmetry_space_group_name_H-M 'P m m a'
_symmetry_Int_Tables_number 51
_cell_length_a 6.9097
_cell_length_b 3.7458
_cell_length_c 6.2990
_cell_angle_alpha 90.00
_cell_angle_beta 90.00
_cell_angle_gamma 90.00
loop_
_symmetry_equiv_pos_as_xyz
'x,y,z'
'-x,-y,-z'
'-x+1/2,-y,z'
'x+1/2,y,-z'
'x+1/2,-y,-z'
'-x+1/2,y,z'
'-x,y,-z'
'x,-y,z'
loop_
_atom_site_label
_atom_site_fract_x
_atom_site_fract_y
_atom_site_fract_z
Tm1 0.2500 0.0000 0.1382
Co1 0.2500 0.0000 0.7278
Ni1 0.0000 0.0000 0.5000
Ni2 0.0549 0.5000 0.8012
Ni3 0.2500 0.5000 0.4701

---

Density (g/cm3)
3.887 9.510 8.640 9.224 9.068 11.948 10.316 9.424